Record 1
# CsTl3Pd2 | the Alexandria database | PBE-GGA | optimized geometry
# space group	Cmcm
# crystal system	orthorhombic
# electronic total energy	-3.191	eV/atom
data_CsTl3Pd2
_chemical_formula_sum 'Cs2 Tl6 Pd4'
_cell_length_a 4.0445
_cell_length_b 10.4956
_cell_length_c 8.6390
_cell_angle_alpha 90.00
_cell_angle_beta 90.00
_cell_angle_gamma 101.11
_symmetry_space_group_name_H-M 'P 1'
_symmetry_Int_Tables_number 1
_symmetry_space_group_name_Hall 'P 1'
loop_
_atom_site_label
_atom_site_type_symbol
_atom_site_fract_x
_atom_site_fract_y
_atom_site_fract_z
Cs1 Cs 0.2382 0.4764 0.2500
Pd1 Pd 0.4952 0.9903 0.2500
Tl1 Tl 0.6009 0.2017 0.4519
Tl2 Tl 0.3991 0.7983 0.5481
Cs2 Cs 0.7618 0.5236 0.7500
Pd2 Pd 0.0000 0.0000 0.5000
Tl3 Tl 0.3991 0.7983 0.9519
Tl4 Tl 0.6009 0.2017 0.0481
Tl5 Tl 0.1006 0.2012 0.7500
Pd3 Pd 0.0000 0.0000 0.0000
Pd4 Pd 0.5048 0.0097 0.7500
Tl6 Tl 0.8994 0.7988 0.2500

***

Record 2
# CsTl2Pd | the Alexandria database | PBE-GGA | optimized geometry
# space group	Fm-3m
# crystal system	cubic
# electronic total energy	-2.470	eV/atom
data_CsTl2Pd
_chemical_formula_sum 'Cs1 Tl2 Pd1'
_cell_length_a 5.5815
_cell_length_b 5.5815
_cell_length_c 5.5815
_cell_angle_alpha 60.00
_cell_angle_beta 60.00
_cell_angle_gamma 60.00
_symmetry_space_group_name_H-M 'P 1'
_symmetry_Int_Tables_number 1
_symmetry_space_group_name_Hall 'P 1'
loop_
_atom_site_label
_atom_site_type_symbol
_atom_site_fract_x
_atom_site_fract_y
_atom_site_fract_z
Cs1 Cs 0.5000 0.5000 0.5000
Tl1 Tl 0.2500 0.2500 0.2500
Tl2 Tl 0.7500 0.7500 0.7500
Pd1 Pd 0.0000 0.0000 0.0000

***

Record 3
# Cs2Tl2Pd3 | the Alexandria database | PBE-GGA | optimized geometry
# space group	C2/m
# crystal system	monoclinic
# electronic total energy	-3.264	eV/atom
data_Cs2Tl2Pd3
_chemical_formula_sum 'Cs2 Tl2 Pd3'
_cell_length_a 4.6454
_cell_length_b 7.4706
_cell_length_c 7.7748
_cell_angle_alpha 65.93
_cell_angle_beta 72.62
_cell_angle_gamma 71.89
_symmetry_space_group_name_H-M 'P 1'
_symmetry_Int_Tables_number 1
_symmetry_space_group_name_Hall 'P 1'
loop_
_atom_site_label
_atom_site_type_symbol
_atom_site_fract_x
_atom_site_fract_y
_atom_site_fract_z
Pd1 Pd 0.3176 0.9447 0.4200
Tl1 Tl 0.8903 0.0055 0.2139
Cs1 Cs 0.1457 0.4529 0.2557
Pd2 Pd 0.6824 0.0553 0.5800
Cs2 Cs 0.8543 0.5471 0.7443
Tl2 Tl 0.1097 0.9945 0.7861
Pd3 Pd 0.5000 0.0000 0.0000

***

Record 4
# CsTlPd2 | the Alexandria database | PBE-GGA | optimized geometry
# space group	Fm-3m
# crystal system	cubic
# energy above the most stable polymorph in this dataset	0.4975	eV/atom
data_CsTlPd2
_chemical_formula_sum 'Cs1 Tl1 Pd2'
_cell_length_a 5.2147
_cell_length_b 5.2147
_cell_length_c 5.2147
_cell_angle_alpha 60.00
_cell_angle_beta 60.00
_cell_angle_gamma 60.00
_symmetry_space_group_name_H-M 'P 1'
_symmetry_Int_Tables_number 1
_symmetry_space_group_name_Hall 'P 1'
loop_
_atom_site_label
_atom_site_type_symbol
_atom_site_fract_x
_atom_site_fract_y
_atom_site_fract_z
Pd1 Pd 0.2500 0.2500 0.2500
Tl1 Tl 0.5000 0.5000 0.5000
Cs1 Cs 0.0000 0.0000 0.0000
Pd2 Pd 0.7500 0.7500 0.7500